No. 1
The following is a PBE-GGA calculation of crystalline Cr3Br at its relaxed geometry, from Alexandria.

a b c (Å): 8.004 8.004 8.004
angles (deg): 22.41 22.41 22.41
Site moments in Bohr magnetons follow the coordinates.
Fractional positions:
1 Br 0.000 0.000 0.000  0.03
2 Cr 0.758 0.758 0.758  2.95
3 Cr 0.500 0.500 0.500  -2.12
4 Cr 0.242 0.242 0.242  2.95

Summary:
- energy above the most stable polymorph in this dataset (meV per atom) = 114.1
- formation energy from raw total energies (eV/atom) = 0.540
- calculated total energy (eV/atom) = -7.096
- crystal system = trigonal
- magnetic moment (μB/cell) = 4.17

No. 2
The following is a PBE-GGA calculation of crystalline LaPaAu2 at its relaxed geometry, from Alexandria.

a b c (Å): 3.548 3.548 7.957
angles (deg): 90.00 90.00 90.00
Site moments in Bohr magnetons follow the coordinates.
Fractional positions:
1 Pa 0.500 0.500 0.000  1.08
2 Au 0.000 0.000 0.765  0.01
3 Au 0.000 0.000 0.235  0.01
4 La 0.500 0.500 0.500  0.02

Summary:
- energy above the most stable polymorph in this dataset (meV per atom) = 0.0
- formation energy from the elements (meV/atom) = -446.4
- calculated total energy (eV/atom) = -5.691
- crystal system = tetragonal
- magnetic moment (μB/cell) = 1.40